# 1
Material: Nb2CuHg
Method: DFT, PBE
State: relaxed

Calculated values
Calculated formation energy ... 2.064 eV/f.u.
Magnetization ... 0.475 μB/cell
SG ... F-43m

a b c (Å): 4.648 4.648 4.648
angles (deg): 60.00 60.00 60.00
Site moments in Bohr magnetons follow the coordinates.
Element x y z (fractional)
Cu1 0.500 0.500 0.500  0.02
Hg1 0.250 0.250 0.250  0.01
Nb1 0.000 0.000 0.000  0.19
Nb2 0.750 0.750 0.750  0.17

=====

# 2
Material: NbCu2Hg
Method: DFT, PBE
State: relaxed

Calculated values
Calculated formation energy ... 1.333 eV/f.u.
Magnetization ... 0.005 μB/cell
SG ... F-43m

a b c (Å): 4.483 4.483 4.483
angles (deg): 60.00 60.00 60.00
Element x y z (fractional)
Cu1 0.000 0.000 0.000
Cu2 0.250 0.250 0.250
Hg1 0.500 0.500 0.500
Nb1 0.750 0.750 0.750

=====

# 3
Material: NbCuHgSb
Method: DFT, PBE
State: relaxed

Calculated values
Magnetization ... 2.322 μB/cell
Polymorph energy (0 for the lowest one) ... 261 meV per atom
SG ... F-43m

a b c (Å): 4.847 4.847 4.847
angles (deg): 60.00 60.00 60.00
Element x y z (fractional)
Cu1 0.750 0.750 0.750
Hg1 0.250 0.250 0.250
Nb1 0.500 0.500 0.500
Sb1 0.000 0.000 0.000

=====

# 4
Material: NbCuHgSb
Method: DFT, PBE
State: relaxed

Calculated values
Magnetization ... 0.350 μB/cell
Polymorph energy (0 for the lowest one) ... 0 meV per atom
SG ... F-43m

a b c (Å): 4.772 4.772 4.772
angles (deg): 60.00 60.00 60.00
Element x y z (fractional)
Cu1 0.750 0.750 0.750
Hg1 0.500 0.500 0.500
Nb1 0.250 0.250 0.250
Sb1 0.000 0.000 0.000

=====

# 5
Material: NbCuSnHg
Method: DFT, PBE
State: relaxed

Calculated values
Magnetization ... 1.650 μB/cell
Polymorph energy (0 for the lowest one) ... 0 meV per atom
SG ... F-43m

a b c (Å): 4.776 4.776 4.776
angles (deg): 60.00 60.00 60.00
Element x y z (fractional)
Cu1 0.750 0.750 0.750
Hg1 0.500 0.500 0.500
Nb1 0.250 0.250 0.250
Sn1 0.000 0.000 0.000

=====

# 6
Material: NbCuSnHg
Method: DFT, PBE
State: relaxed

Calculated values
Magnetization ... 1.934 μB/cell
Polymorph energy (0 for the lowest one) ... 157 meV per atom
SG ... F-43m

a b c (Å): 4.800 4.800 4.800
angles (deg): 60.00 60.00 60.00
Element x y z (fractional)
Cu1 0.750 0.750 0.750
Hg1 0.250 0.250 0.250
Nb1 0.500 0.500 0.500
Sn1 0.000 0.000 0.000

=====

# 7
Material: NbZnCuHg
Method: DFT, PBE
State: relaxed

Calculated values
Calculated formation energy ... 1.290 eV/f.u.
Magnetization ... 0.079 μB/cell
Polymorph energy (0 for the lowest one) ... 0 meV per atom
SG ... F-43m

a b c (Å): 4.552 4.552 4.552
angles (deg): 60.00 60.00 60.00
Element x y z (fractional)
Cu1 0.750 0.750 0.750
Hg1 0.500 0.500 0.500
Nb1 0.250 0.250 0.250
Zn1 0.000 0.000 0.000

=====

# 8
Material: NbZnCuHg
Method: DFT, PBE
State: relaxed

Calculated values
Calculated formation energy ... 1.334 eV/f.u.
Magnetization ... 0.039 μB/cell
Polymorph energy (0 for the lowest one) ... 11 meV per atom
SG ... F-43m

a b c (Å): 4.553 4.553 4.553
angles (deg): 60.00 60.00 60.00
Element x y z (fractional)
Cu1 0.750 0.750 0.750
Hg1 0.250 0.250 0.250
Nb1 0.500 0.500 0.500
Zn1 0.000 0.000 0.000

=====

> Look up the magnetization of the seventh one.

0.079 μB/cell